4
Lattice="2.574 0.000 0.000 0.000 4.210 0.000 0.000 0.000 4.902" Properties=species:S:1:pos:R:3 comment="PBE-GGA LiCo2Ag, optimized geometry" e_form_ev_per_atom=0.3084 energy_ev_per_atom=-4.436 pbc="T T T"
Li 1.287 2.105 1.225
Co 0.000 0.000 2.390
Ag 1.287 2.105 3.676
Co 0.000 0.000 0.061

5
Lattice="-2.699 4.338 -0.564 -2.946 -2.047 -1.646 -2.101 -0.705 4.638" Properties=species:S:1:pos:R:3 comment="PBE-GGA CrSnW2N, optimized geometry" formation_energy_uncorrected_ev_per_atom=2.766 energy_ev_per_atom=-6.806 pbc="T T T"
W -1.051 -0.353 2.319
Cr -3.873 0.793 1.214
W -1.350 2.169 -0.282
N -1.473 -1.023 -0.823
Sn 0.000 0.000 0.000

13
Lattice="1.783 5.652 -2.866 4.386 -3.876 -4.915 -7.761 -0.510 -0.581" Properties=species:S:1:pos:R:3 comment="PBE-GGA Sn3Hg2S8, optimized geometry" formation_energy_uncorrected_ev_per_atom=-0.270 polymorph_energy_mev_per_atom=0 energy_ev_per_atom=-3.780 pbc="T T T"
Sn 1.105 -0.977 -1.239
S -0.815 0.855 -1.402
S 0.994 2.920 -4.017
Hg 1.798 0.748 -4.928
Sn 0.892 2.826 -1.433
S -5.052 0.525 -1.582
S -0.777 0.411 -6.961
Hg -3.390 0.518 -3.434
Sn 3.280 -2.899 -3.676
S -2.587 -1.654 -4.345
S -2.765 2.655 -4.561
S 1.172 -1.389 -3.801
S 3.460 0.741 -6.780